1.
Compound: SrInPb2
Source: Alexandria
Functional: SCAN
Structure: PBEsol geometry

a = 6.078 Å, b = 6.078 Å, c = 6.078 Å
α = 133.30°, β = 133.30°, γ = 68.19°
Sites, in units of the cell vectors:
Sr 0.000 0.000 0.000
In 0.750 0.250 0.500
Pb 0.250 0.750 0.500
Pb 0.500 0.500 0.000

total DFT energy (no corrections) = -208.9 eV for the cell shown
DOS(E_F) = 1.97 states/eV/cell



2.
Compound: Mg2Tl
Source: Alexandria
Functional: SCAN
Structure: PBEsol geometry

a = 5.039 Å, b = 5.039 Å, c = 5.039 Å
α = 138.79°, β = 119.17°, γ = 76.12°
Sites, in units of the cell vectors:
Mg 0.196 0.196 0.000
Mg 0.804 0.804 0.000
Tl 0.500 0.000 0.500

total DFT energy (no corrections) = -82.7 eV for the cell shown
DOS(E_F) = 0.83 states/eV/cell



3.
Compound: MnTe2SI
Source: Alexandria
Functional: SCAN
Structure: PBEsol geometry

a = 5.284 Å, b = 5.284 Å, c = 5.174 Å
α = 90.00°, β = 90.00°, γ = 90.00°
Sites, in units of the cell vectors:
Mn 0.000 0.000 0.000
Te 0.000 0.500 0.500
Te 0.500 0.000 0.500
S 0.500 0.500 0.500
I 0.500 0.500 0.000

formation energy from raw total energies = 0.50 eV/atom
total DFT energy (no corrections) = -136.6 eV for the cell shown
DOS(E_F) = 3.37 states/eV/cell



4.
Compound: Ba2CaTl2
Source: Alexandria
Functional: SCAN
Structure: PBEsol geometry

a = 9.426 Å, b = 9.426 Å, c = 4.352 Å
α = 90.00°, β = 90.00°, γ = 90.00°
Sites, in units of the cell vectors:
Ba 0.162 0.338 0.000
Ba 0.338 0.838 0.000
Ba 0.662 0.162 0.000
Ba 0.838 0.662 0.000
Ca 0.000 0.000 0.500
Ca 0.500 0.500 0.500
Tl 0.134 0.634 0.500
Tl 0.366 0.134 0.500
Tl 0.634 0.866 0.500
Tl 0.866 0.366 0.500

total DFT energy (no corrections) = -471.5 eV for the cell shown
DOS(E_F) = 7.87 states/eV/cell



5.
Compound: Pr9Al5Se21
Source: Alexandria
Functional: SCAN
Structure: PBEsol geometry

a = 12.101 Å, b = 12.101 Å, c = 12.101 Å
α = 94.84°, β = 94.84°, γ = 94.84°
Sites, in units of the cell vectors:
Pr 0.011 0.804 0.641
Pr 0.020 0.180 0.799
Pr 0.124 0.344 0.495
Pr 0.132 0.987 0.360
Pr 0.180 0.799 0.020
Pr 0.318 0.700 0.476
Pr 0.344 0.495 0.124
Pr 0.360 0.132 0.987
Pr 0.456 0.677 0.831
Pr 0.476 0.318 0.700
Pr 0.495 0.124 0.344
Pr 0.641 0.011 0.804
Pr 0.677 0.831 0.456
Pr 0.700 0.476 0.318
Pr 0.799 0.020 0.180
Pr 0.804 0.641 0.011
Pr 0.831 0.456 0.677
Pr 0.987 0.360 0.132
Al 0.102 0.102 0.102
Al 0.127 0.471 0.793
Al 0.292 0.966 0.634
Al 0.415 0.415 0.415
Al 0.471 0.793 0.127
Al 0.599 0.599 0.599
Al 0.634 0.292 0.966
Al 0.793 0.127 0.471
Al 0.918 0.918 0.918
Al 0.966 0.634 0.292
Se 0.005 0.907 0.137
Se 0.035 0.185 0.285
Se 0.037 0.602 0.116
Se 0.062 0.548 0.628
Se 0.088 0.756 0.418
Se 0.116 0.037 0.602
Se 0.137 0.005 0.907
Se 0.185 0.285 0.035
Se 0.213 0.311 0.728
Se 0.238 0.481 0.340
Se 0.253 0.788 0.700
Se 0.254 0.588 0.920
Se 0.285 0.035 0.185
Se 0.311 0.728 0.213
Se 0.340 0.238 0.481
Se 0.358 0.939 0.453
Se 0.392 0.525 0.621
Se 0.412 0.880 0.963
Se 0.418 0.088 0.756
Se 0.453 0.358 0.939
Se 0.481 0.340 0.238
Se 0.525 0.621 0.392
Se 0.548 0.628 0.062
Se 0.549 0.797 0.652
Se 0.588 0.920 0.254
Se 0.602 0.116 0.037
Se 0.621 0.392 0.525
Se 0.628 0.062 0.548
Se 0.652 0.549 0.797
Se 0.700 0.253 0.788
Se 0.728 0.213 0.311
Se 0.731 0.864 0.973
Se 0.756 0.418 0.088
Se 0.788 0.700 0.253
Se 0.797 0.652 0.549
Se 0.864 0.973 0.731
Se 0.880 0.963 0.412
Se 0.907 0.137 0.005
Se 0.920 0.254 0.588
Se 0.939 0.453 0.358
Se 0.963 0.412 0.880
Se 0.973 0.731 0.864

formation energy from raw total energies = -1.77 eV/atom
total DFT energy (no corrections) = -1824.2 eV for the cell shown
DOS(E_F) = 0.00 states/eV/cell



6.
Compound: TiSiHgB2
Source: Alexandria
Functional: SCAN
Structure: PBEsol geometry

a = 3.979 Å, b = 3.979 Å, c = 4.798 Å
α = 90.00°, β = 90.00°, γ = 90.00°
Sites, in units of the cell vectors:
Ti 0.000 0.000 0.000
Si 0.000 0.000 0.500
Hg 0.500 0.500 0.000
B 0.000 0.500 0.500
B 0.500 0.000 0.500

formation energy from raw total energies = 1.04 eV/atom
total DFT energy (no corrections) = -103.9 eV for the cell shown
DOS(E_F) = 2.47 states/eV/cell



7.
Compound: YH5Se2O8
Source: Alexandria
Functional: SCAN
Structure: PBEsol geometry

a = 6.576 Å, b = 6.896 Å, c = 15.838 Å
α = 90.00°, β = 90.00°, γ = 90.00°
Sites, in units of the cell vectors:
Y 0.123 0.106 0.215
Y 0.377 0.894 0.715
Y 0.623 0.394 0.785
Y 0.877 0.606 0.285
H 0.020 0.417 0.103
H 0.049 0.270 0.896
H 0.106 0.254 0.036
H 0.190 0.092 0.916
H 0.209 0.166 0.551
H 0.291 0.834 0.051
H 0.310 0.908 0.416
H 0.394 0.746 0.536
H 0.451 0.730 0.396
H 0.480 0.583 0.603
H 0.520 0.083 0.897
H 0.549 0.230 0.104
H 0.606 0.246 0.964
H 0.690 0.408 0.084
H 0.709 0.334 0.449
H 0.791 0.666 0.949
H 0.810 0.592 0.584
H 0.894 0.754 0.464
H 0.951 0.770 0.604
H 0.980 0.917 0.397
Se 0.137 0.310 0.423
Se 0.153 0.395 0.727
Se 0.347 0.605 0.227
Se 0.363 0.690 0.923
Se 0.637 0.190 0.577
Se 0.653 0.105 0.273
Se 0.847 0.895 0.773
Se 0.863 0.810 0.077
O 0.034 0.895 0.698
O 0.074 0.204 0.521
O 0.094 0.184 0.943
O 0.100 0.899 0.098
O 0.107 0.299 0.098
O 0.143 0.100 0.364
O 0.186 0.424 0.264
O 0.189 0.786 0.264
O 0.311 0.214 0.764
O 0.314 0.576 0.764
O 0.357 0.900 0.864
O 0.393 0.701 0.598
O 0.400 0.101 0.598
O 0.406 0.816 0.443
O 0.426 0.796 0.021
O 0.466 0.105 0.198
O 0.534 0.605 0.302
O 0.574 0.296 0.479
O 0.594 0.316 0.057
O 0.600 0.601 0.902
O 0.607 0.201 0.902
O 0.643 0.400 0.636
O 0.686 0.076 0.736
O 0.689 0.714 0.736
O 0.811 0.286 0.236
O 0.814 0.924 0.236
O 0.857 0.600 0.136
O 0.893 0.799 0.402
O 0.900 0.399 0.402
O 0.906 0.684 0.557
O 0.926 0.704 0.979
O 0.966 0.395 0.802

total DFT energy (no corrections) = -636.5 eV for the cell shown
DOS(E_F) = 0.00 states/eV/cell



8.
Compound: K2BeIF
Source: Alexandria
Functional: SCAN
Structure: PBEsol geometry

a = 6.038 Å, b = 6.038 Å, c = 4.821 Å
α = 90.00°, β = 90.00°, γ = 90.00°
Sites, in units of the cell vectors:
K 0.000 0.500 0.000
K 0.500 0.000 0.000
Be 0.000 0.000 0.000
I 0.000 0.000 0.500
F 0.500 0.500 0.500

formation energy from raw total energies = -0.48 eV/atom
total DFT energy (no corrections) = -63.7 eV for the cell shown
DOS(E_F) = 2.04 states/eV/cell



9.
Compound: CdTe2Ir
Source: Alexandria
Functional: SCAN
Structure: PBEsol geometry

a = 3.859 Å, b = 6.063 Å, c = 6.063 Å
α = 46.42°, β = 90.00°, γ = 90.00°
Sites, in units of the cell vectors:
Cd 0.000 0.000 0.000
Te 0.000 0.662 0.662
Te 0.500 0.397 0.397
Ir 0.500 0.812 0.812

formation energy from raw total energies = -0.06 eV/atom
total DFT energy (no corrections) = -176.3 eV for the cell shown
DOS(E_F) = 2.20 states/eV/cell



10.
Compound: CrAu2Cl
Source: Alexandria
Functional: SCAN
Structure: PBEsol geometry

a = 5.598 Å, b = 5.598 Å, c = 5.598 Å
α = 149.84°, β = 125.01°, γ = 64.00°
Sites, in units of the cell vectors:
Cr 0.000 0.000 0.000
Au 0.498 0.498 0.000
Au 0.774 0.274 0.500
Cl 0.183 0.683 0.500

excess energy over the best structure of this formula in the dataset = 176 meV/atom
formation energy from raw total energies = -0.10 eV/atom
total DFT energy (no corrections) = -165.1 eV for the cell shown
DOS(E_F) = 0.73 states/eV/cell



11.
Compound: TlS2I
Source: Alexandria
Functional: SCAN
Structure: PBEsol geometry

a = 6.444 Å, b = 6.444 Å, c = 6.444 Å
α = 109.84°, β = 109.84°, γ = 108.74°
Sites, in units of the cell vectors:
Tl 0.000 0.000 0.000
Tl 0.750 0.250 0.500
S 0.104 0.125 0.479
S 0.375 0.896 0.021
S 0.646 0.625 0.521
S 0.875 0.354 0.979
I 0.250 0.750 0.500
I 0.500 0.500 0.000

excess energy over the best structure of this formula in the dataset = 366 meV/atom
formation energy from raw total energies = 0.38 eV/atom
total DFT energy (no corrections) = -253.7 eV for the cell shown
DOS(E_F) = 6.11 states/eV/cell



12.
Compound: NbAs2PdBr
Source: Alexandria
Functional: SCAN
Structure: PBEsol geometry

a = 4.936 Å, b = 4.936 Å, c = 5.013 Å
α = 90.00°, β = 90.00°, γ = 90.00°
Sites, in units of the cell vectors:
Nb 0.000 0.000 0.000
As 0.000 0.500 0.000
As 0.500 0.000 0.000
Pd 0.500 0.500 0.500
Br 0.000 0.000 0.500

formation energy from raw total energies = 0.49 eV/atom
total DFT energy (no corrections) = -123.3 eV for the cell shown
DOS(E_F) = 4.14 states/eV/cell



13.
Compound: TaTiO4
Source: Alexandria
Functional: SCAN
Structure: PBEsol geometry

a = 4.729 Å, b = 4.729 Å, c = 2.980 Å
α = 90.00°, β = 90.00°, γ = 91.10°
Sites, in units of the cell vectors:
Ta 0.000 0.000 0.000
Ti 0.500 0.500 0.500
O 0.202 0.798 0.500
O 0.301 0.301 0.000
O 0.699 0.699 0.000
O 0.798 0.202 0.500

formation energy from raw total energies = -3.09 eV/atom
total DFT energy (no corrections) = -126.1 eV for the cell shown
DOS(E_F) = 2.71 states/eV/cell



14.
Compound: CdTe2Pb
Source: Alexandria
Functional: SCAN
Structure: PBEsol geometry

a = 7.585 Å, b = 7.585 Å, c = 7.585 Å
α = 33.71°, β = 33.71°, γ = 33.71°
Sites, in units of the cell vectors:
Cd 0.000 0.000 0.000
Te 0.257 0.257 0.257
Te 0.743 0.743 0.743
Pb 0.500 0.500 0.500

formation energy from raw total energies = -0.35 eV/atom
total DFT energy (no corrections) = -182.1 eV for the cell shown
DOS(E_F) = 0.36 states/eV/cell



15.
Compound: Ca2Hg
Source: Alexandria
Functional: SCAN
Structure: PBEsol geometry

a = 6.578 Å, b = 6.578 Å, c = 8.774 Å
α = 119.96°, β = 119.96°, γ = 35.71°
Sites, in units of the cell vectors:
Ca 0.088 0.088 0.375
Ca 0.335 0.335 0.930
Ca 0.665 0.665 0.070
Ca 0.912 0.912 0.625
Hg 0.369 0.369 0.319
Hg 0.631 0.631 0.681

total DFT energy (no corrections) = -178.0 eV for the cell shown
DOS(E_F) = 4.62 states/eV/cell



16.
Compound: Ta2AsPb
Source: Alexandria
Functional: SCAN
Structure: PBEsol geometry

a = 5.287 Å, b = 5.287 Å, c = 3.086 Å
α = 101.35°, β = 101.35°, γ = 110.97°
Sites, in units of the cell vectors:
Ta 0.000 0.500 0.000
Ta 0.500 0.000 0.000
As 0.000 0.000 0.500
Pb 0.500 0.500 0.500

total DFT energy (no corrections) = -227.3 eV for the cell shown
DOS(E_F) = 2.62 states/eV/cell



17.
Compound: LaPbW
Source: Alexandria
Functional: SCAN
Structure: PBEsol geometry

a = 5.178 Å, b = 5.178 Å, c = 3.045 Å
α = 90.00°, β = 90.00°, γ = 120.00°
Sites, in units of the cell vectors:
La 0.000 0.000 0.000
Pb 0.333 0.667 0.500
W 0.667 0.333 0.500

total DFT energy (no corrections) = -186.6 eV for the cell shown
DOS(E_F) = 3.68 states/eV/cell



18.
Compound: TaCd2Os
Source: Alexandria
Functional: SCAN
Structure: PBEsol geometry

a = 2.832 Å, b = 2.832 Å, c = 9.706 Å
α = 90.00°, β = 90.00°, γ = 113.77°
Sites, in units of the cell vectors:
Ta 0.000 0.000 0.000
Cd 0.000 0.000 0.537
Cd 0.500 0.500 0.263
Os 0.500 0.500 0.787

excess energy over the best structure of this formula in the dataset = 166 meV/atom
total DFT energy (no corrections) = -198.4 eV for the cell shown
DOS(E_F) = 3.11 states/eV/cell



19.
Compound: Cu2SbAu
Source: Alexandria
Functional: SCAN
Structure: PBEsol geometry

a = 4.807 Å, b = 4.807 Å, c = 4.038 Å
α = 114.66°, β = 114.66°, γ = 49.78°
Sites, in units of the cell vectors:
Cu 0.250 0.250 0.249
Cu 0.750 0.750 0.751
Sb 0.500 0.500 0.000
Au 0.000 0.000 0.500

formation energy from raw total energies = 0.09 eV/atom
total DFT energy (no corrections) = -136.5 eV for the cell shown
DOS(E_F) = 1.50 states/eV/cell



20.
Compound: Sr2ZrTa2
Source: Alexandria
Functional: SCAN
Structure: PBEsol geometry

a = 11.860 Å, b = 11.860 Å, c = 11.860 Å
α = 162.43°, β = 162.43°, γ = 24.95°
Sites, in units of the cell vectors:
Sr 0.114 0.114 0.000
Sr 0.886 0.886 0.000
Zr 0.500 0.500 0.000
Ta 0.250 0.750 0.500
Ta 0.750 0.250 0.500

total DFT energy (no corrections) = -203.5 eV for the cell shown
DOS(E_F) = 6.22 states/eV/cell